1.
DFT (PBE-GGA) results for a relaxed LaYSb2I crystal.

As for the formation energy without anion corrections: -443 meV/atom. The space group is P4/mmm (123). The value obtained for the energy above the lowest structure with this stoichiometry is 0 meV/atom.

abc: 5.7847 5.7847 5.7344
angles: 90.00 90.00 90.00
Closest atoms and distances in Å follow each position.
Atoms (fractional coordinates):
La 0.0000 0.0000 0.0000  8 Sb 4.07, 4 I 4.09
Y 0.5000 0.5000 0.5000  2 I 2.87, 4 Sb 2.89
Sb 0.0000 0.5000 0.5000  2 Y 2.89
Sb 0.5000 0.0000 0.5000  2 Y 2.89
I 0.5000 0.5000 0.0000  2 Y 2.87

---

2.
DFT (PBE-GGA) results for a relaxed LaZnSb2I crystal.

As for the formation energy without anion corrections: -226 meV/atom. The space group is P4/mmm (123). The value obtained for the energy above the lowest structure with this stoichiometry is 0 meV/atom.

abc: 5.1597 5.1597 5.8946
angles: 90.00 90.00 90.00
Closest atoms and distances in Å follow each position.
Atoms (fractional coordinates):
La 0.0000 0.0000 0.0000  4 I 3.65, 8 Sb 3.92
Zn 0.5000 0.5000 0.5000  4 Sb 2.58
Sb 0.0000 0.5000 0.5000  2 Zn 2.58
Sb 0.5000 0.0000 0.5000  2 Zn 2.58
I 0.5000 0.5000 0.0000  2 Zn 2.95

---

3.
DFT (PBE-GGA) results for a relaxed LaZnSbI2 crystal.

As for the formation energy without anion corrections: -320 meV/atom. The space group is P4/mmm (123). The value obtained for the energy above the lowest structure with this stoichiometry is 14 meV/atom.

abc: 5.4119 5.4119 5.5821
angles: 90.00 90.00 90.00
Closest atoms and distances in Å follow each position.
Atoms (fractional coordinates):
La 0.0000 0.0000 0.0000  4 Sb 3.83, 8 I 3.89
Zn 0.5000 0.5000 0.5000  4 I 2.71, 2 Sb 2.79
Sb 0.5000 0.5000 0.0000  2 Zn 2.79
I 0.0000 0.5000 0.5000  2 Zn 2.71
I 0.5000 0.0000 0.5000  2 Zn 2.71

---

4.
DFT (PBE-GGA) results for a relaxed LaZnSbI2 crystal.

As for the formation energy without anion corrections: -333 meV/atom. The space group is P4/mmm (123). The value obtained for the energy above the lowest structure with this stoichiometry is 0 meV/atom.

abc: 6.3081 6.3081 6.5300
angles: 90.00 90.00 90.00
Closest atoms and distances in Å follow each position.
Atoms (fractional coordinates):
La 0.0000 0.0000 0.0000  4 I 3.15, 2 Sb 3.26
Zn 0.5000 0.5000 0.5000  4 Sb 4.46, 8 I 4.54
Sb 0.0000 0.0000 0.5000  2 La 3.26
I 0.0000 0.5000 0.0000  2 La 3.15
I 0.5000 0.0000 0.0000  2 La 3.15

---

5.
DFT (PBE-GGA) results for a relaxed LaZnSb2I crystal.

As for the formation energy without anion corrections: 210 meV/atom. The space group is P4/mmm (123). The value obtained for the energy above the lowest structure with this stoichiometry is 435 meV/atom.

abc: 6.2594 6.2594 6.2720
angles: 90.00 90.00 90.00
Closest atoms and distances in Å follow each position.
Atoms (fractional coordinates):
La 0.0000 0.0000 0.0000  4 Sb 3.13, 2 I 3.14
Zn 0.5000 0.5000 0.5000  4 I 4.43, 8 Sb 4.43
Sb 0.0000 0.5000 0.0000  2 La 3.13
Sb 0.5000 0.0000 0.0000  2 La 3.13
I 0.0000 0.0000 0.5000  2 La 3.14

---

6.
DFT (PBE-GGA) results for a relaxed LaZrSbI2 crystal.

As for the formation energy without anion corrections: -333 meV/atom. The space group is P4/mmm (123).

abc: 5.5687 5.5687 5.7328
angles: 90.00 90.00 90.00
Closest atoms and distances in Å follow each position.
Atoms (fractional coordinates):
La 0.0000 0.0000 0.0000  4 Sb 3.94, 8 I 4.00
Zr 0.5000 0.5000 0.5000  4 I 2.78, 2 Sb 2.87
Sb 0.5000 0.5000 0.0000  2 Zr 2.87
I 0.0000 0.5000 0.5000  2 Zr 2.78
I 0.5000 0.0000 0.5000  2 Zr 2.78

---

7.
DFT (PBE-GGA) results for a relaxed LaSc2I crystal.

As for the formation energy without anion corrections: 160 meV/atom. The space group is Fm-3m (225). The value obtained for the energy above the lowest structure with this stoichiometry is 190 meV/atom.

abc: 5.2919 5.2919 5.2919
angles: 60.00 60.00 60.00
Closest atoms and distances in Å follow each position.
Atoms (fractional coordinates):
La 0.0000 0.0000 0.0000  8 Sc 3.24
Sc 0.2500 0.2500 0.2500  4 La 3.24, 4 I 3.24
Sc 0.7500 0.7500 0.7500  4 La 3.24, 4 I 3.24
I 0.5000 0.5000 0.5000  8 Sc 3.24

---

8.
DFT (PBE-GGA) results for a relaxed LaScI3 crystal.

As for the formation energy without anion corrections: -543 meV/atom. The space group is Pm-3m (221). The value obtained for the energy above the lowest structure with this stoichiometry is 0 meV/atom.

abc: 5.5137 5.5137 5.5137
angles: 90.00 90.00 90.00
Closest atoms and distances in Å follow each position.
Atoms (fractional coordinates):
La 0.0000 0.0000 0.0000  12 I 3.90
Sc 0.5000 0.5000 0.5000  6 I 2.76
I 0.0000 0.5000 0.5000  2 Sc 2.76
I 0.5000 0.0000 0.5000  2 Sc 2.76
I 0.5000 0.5000 0.0000  2 Sc 2.76